Density functional theory data (GGA-PBE) for a relaxed structure of ScTlNiRu.

Unit cell a=4.550 b=4.550 c=4.550 alpha=60.00 beta=60.00 gamma=60.00
Element x y z (fractional)
Ni  0.750  0.750  0.750
Sc  0.000  0.000  0.000
Tl  0.500  0.500  0.500
Ru  0.250  0.250  0.250

Computed properties:
* calculated formation energy: -0.131 eV per atom
* crystal system: cubic
* spin magnetization: 0.0 μB/f.u.
* uncorrected energy: -6.070 eV per atom
* theoretical density: 10.20 Mg/m³